VASP calculation (PBE) on crystalline Ac2LaGe3 at its relaxed geometry.

The structure in POSCAR format:
```
Ac2LaGe3
1.0
-2.285 3.207 6.765
2.285 -3.207 6.765
2.285 3.207 -6.765
Ac La Ge
2 1 3
Direct
0.169 0.169 0.000 Ac
0.831 0.831 0.000 Ac
0.500 0.500 0.000 La
0.000 0.500 0.500 Ge
0.344 0.844 0.500 Ge
0.656 0.156 0.500 Ge
```

## Properties
For the total magnetic moment, the calculation gives 0.0 μB/cell. As for the density of states at the Fermi level: 1.403 states/eV per atom.

=====

VASP calculation (PBE) on crystalline V2ZnB at its relaxed geometry.

The structure in POSCAR format:
```
V2ZnB
1.0
1.464 0.845 7.659
-1.464 0.845 7.659
0.000 -1.690 7.659
V Zn B
2 1 1
Direct
0.116 0.116 0.116 V
0.884 0.884 0.884 V
0.000 0.000 0.000 Zn
0.500 0.500 0.500 B
```

## Properties
For the total magnetic moment, the calculation gives 0.0 μB/cell. As for the density of states at the Fermi level: 1.235 states/eV per atom. The energy above the most stable polymorph in this dataset is 0.000 eV/atom.

=====

VASP calculation (PBE) on crystalline HoAl4Au2 at its relaxed geometry.

The structure in POSCAR format:
```
HoAl4Au2
1.0
8.083 0.000 0.000
0.000 8.083 0.000
0.000 0.000 4.026
Ho Al Au
2 8 4
Direct
0.000 0.000 0.000 Ho
0.500 0.500 0.500 Ho
0.085 0.336 0.500 Al
0.164 0.585 0.000 Al
0.336 0.085 0.500 Al
0.415 0.836 0.000 Al
0.585 0.164 0.000 Al
0.664 0.915 0.500 Al
0.836 0.415 0.000 Al
0.915 0.664 0.500 Al
0.206 0.794 0.500 Au
0.294 0.294 0.000 Au
0.706 0.706 0.000 Au
0.794 0.206 0.500 Au
```

## Properties
For the total magnetic moment, the calculation gives 0.0 μB/cell. As for the density of states at the Fermi level: 0.577 states/eV per atom. The energy above the most stable polymorph in this dataset is 0.061 eV/atom.

=====

VASP calculation (PBE) on crystalline ZrScCrOs at its relaxed geometry.

The structure in POSCAR format:
```
ZrScCrOs
1.0
0.000 3.277 3.277
3.277 0.000 3.277
3.277 3.277 0.000
Zr Sc Cr Os
1 1 1 1
Direct
0.000 0.000 0.000 Zr
0.500 0.500 0.500 Sc
0.250 0.250 0.250 Cr
0.750 0.750 0.750 Os
```

## Properties
For the total magnetic moment, the calculation gives 2.7 μB/cell. As for the density of states at the Fermi level: 0.805 states/eV per atom.

=====

VASP calculation (PBE) on crystalline Tb2GdPu at its relaxed geometry.

The structure in POSCAR format:
```
Tb2GdPu
1.0
0.000 3.962 3.962
3.962 0.000 3.962
3.962 3.962 0.000
Tb Gd Pu
2 1 1
Direct
0.250 0.250 0.250 Tb
0.750 0.750 0.750 Tb
0.000 0.000 0.000 Gd
0.500 0.500 0.500 Pu
```

## Properties
For the total magnetic moment, the calculation gives 14.3 μB/cell. As for the density of states at the Fermi level: 2.683 states/eV per atom. The energy above the most stable polymorph in this dataset is 0.080 eV/atom.

=====

Number 1: DFT formation energy -0.5625 eV per atom. Number 2: DFT formation energy 0.1929 eV per atom. Number 3: DFT formation energy -0.5111 eV per atom. Number 4: DFT formation energy -0.1764 eV per atom. Number 5: DFT formation energy 0.1876 eV per atom.